Entry from the Alexandria database: TaInFe2O6 after structural relaxation (PBE with a Hubbard U).

POSCAR file:
```
TaInFe2O6
1.0
5.358 0.000 0.000
-2.676 4.680 0.000
-2.661 -1.537 4.796
Ta In Fe O
1 1 2 6
Cartesian
0.000 0.000 0.000 Ta
2.679 1.586 2.348 In
-0.005 0.010 2.994 Fe
-0.014 3.126 0.627 Fe
-1.894 -0.001 3.848 O
-0.819 1.387 1.343 O
1.507 0.040 1.450 O
-1.703 2.968 3.892 O
1.919 3.325 1.370 O
1.011 1.735 3.876 O
```

Properties
E_tot = -7.5055 eV/atom
Calculated volume = 12.03 Å³/atom
Total magnetization = 8.0 Bohr magnetons per cell